# Pr2Th2Zn, relaxed, DFT PBE-GGA
data_Pr2Th2Zn
_symmetry_space_group_name_H-M 'P 1'
_symmetry_Int_Tables_number 1
_cell_length_a 3.6469
_cell_length_b 3.6469
_cell_length_c 11.6340
_cell_angle_alpha 99.02
_cell_angle_beta 99.02
_cell_angle_gamma 90.00
loop_
_symmetry_equiv_pos_as_xyz
'x,y,z'
loop_
_atom_site_label
_atom_site_type_symbol
_atom_site_fract_x
_atom_site_fract_y
_atom_site_fract_z
Zn1 Zn 0.0000 0.0000 0.0000
Th1 Th 0.1973 0.1973 0.3946
Th2 Th 0.8027 0.8027 0.6054
Pr1 Pr 0.5848 0.5848 0.1695
Pr2 Pr 0.4152 0.4152 0.8305
# - M_tot: 0.00 μB/atom
# - Energy of formation: -106 meV per atom

***

# HoZn9Ni2, relaxed, DFT PBE-GGA
data_HoZn9Ni2
_symmetry_space_group_name_H-M 'P 1'
_symmetry_Int_Tables_number 1
_cell_length_a 6.7203
_cell_length_b 8.0600
_cell_length_c 8.0600
_cell_angle_alpha 79.99
_cell_angle_beta 65.36
_cell_angle_gamma 65.36
loop_
_symmetry_equiv_pos_as_xyz
'x,y,z'
loop_
_atom_site_label
_atom_site_type_symbol
_atom_site_fract_x
_atom_site_fract_y
_atom_site_fract_z
Zn1 Zn 0.0000 0.0000 0.0000
Zn2 Zn 0.1442 0.4185 0.1760
Zn3 Zn 0.0113 0.9185 0.6760
Zn4 Zn 0.7387 0.8240 0.5815
Zn5 Zn 0.4373 0.4185 0.8240
Zn6 Zn 0.0701 0.3240 0.9185
Zn7 Zn 0.6799 0.5815 0.1760
Zn8 Zn 0.3127 0.0815 0.6760
Zn9 Zn 0.1442 0.1760 0.4185
Zn10 Zn 0.0113 0.6760 0.9185
Zn11 Zn 0.0701 0.9185 0.3240
Zn12 Zn 0.6058 0.3240 0.0815
Zn13 Zn 0.3127 0.6760 0.0815
Zn14 Zn 0.4373 0.8240 0.4185
Zn15 Zn 0.7387 0.5815 0.8240
Zn16 Zn 0.6058 0.0815 0.3240
Zn17 Zn 0.6799 0.1760 0.5815
Zn18 Zn 0.7500 0.5000 0.5000
Ni1 Ni 0.3750 0.7500 0.7500
Ni2 Ni 0.8750 0.2500 0.2500
Ni3 Ni 0.8750 0.7500 0.2500
Ni4 Ni 0.8750 0.2500 0.7500
Ho1 Ho 0.5000 0.0000 0.0000
Ho2 Ho 0.2500 0.5000 0.5000
# - M_tot: 0.00 μB/atom
# - Energy of formation: -248 meV per atom
# - Polymorph energy (0 for the lowest one): 0.000 eV/atom

***

# TiSn, relaxed, DFT PBE-GGA
data_TiSn
_symmetry_space_group_name_H-M 'P 1'
_symmetry_Int_Tables_number 1
_cell_length_a 10.2965
_cell_length_b 10.2965
_cell_length_c 3.4372
_cell_angle_alpha 90.00
_cell_angle_beta 90.00
_cell_angle_gamma 90.00
loop_
_symmetry_equiv_pos_as_xyz
'x,y,z'
loop_
_atom_site_label
_atom_site_type_symbol
_atom_site_fract_x
_atom_site_fract_y
_atom_site_fract_z
Ti1 Ti 0.9198 0.3795 0.5000
Ti2 Ti 0.1205 0.4198 0.0000
Ti3 Ti 0.4198 0.8795 0.0000
Ti4 Ti 0.8795 0.5802 0.0000
Ti5 Ti 0.5802 0.1205 0.0000
Ti6 Ti 0.0802 0.6205 0.5000
Ti7 Ti 0.3795 0.0802 0.5000
Ti8 Ti 0.6205 0.9198 0.5000
Sn1 Sn 0.8158 0.1094 0.5000
Sn2 Sn 0.1094 0.1842 0.5000
Sn3 Sn 0.3158 0.6094 0.0000
Sn4 Sn 0.8906 0.8158 0.5000
Sn5 Sn 0.6094 0.6842 0.0000
Sn6 Sn 0.1842 0.8906 0.5000
Sn7 Sn 0.3906 0.3158 0.0000
Sn8 Sn 0.6842 0.3906 0.0000
# - M_tot: 0.00 μB/atom
# - Energy of formation: -15 meV per atom

***

# CeNd2Dy8, relaxed, DFT PBE-GGA
data_CeNd2Dy8
_symmetry_space_group_name_H-M 'P 1'
_symmetry_Int_Tables_number 1
_cell_length_a 5.0461
_cell_length_b 7.9777
_cell_length_c 9.4377
_cell_angle_alpha 104.65
_cell_angle_beta 105.51
_cell_angle_gamma 90.00
loop_
_symmetry_equiv_pos_as_xyz
'x,y,z'
loop_
_atom_site_label
_atom_site_type_symbol
_atom_site_fract_x
_atom_site_fract_y
_atom_site_fract_z
Dy1 Dy 0.0442 0.7305 0.0884
Dy2 Dy 0.5894 0.4527 0.1788
Dy3 Dy 0.8653 0.8227 0.7307
Dy4 Dy 0.4106 0.5473 0.8212
Dy5 Dy 0.6797 0.9070 0.3594
Dy6 Dy 0.3203 0.0930 0.6406
Dy7 Dy 0.9558 0.2695 0.9116
Dy8 Dy 0.1347 0.1773 0.2693
Nd1 Nd 0.2283 0.6375 0.4567
Nd2 Nd 0.7717 0.3625 0.5433
Ce1 Ce 0.5000 0.0000 0.0000
# - M_tot: 0.10 μB/atom
# - Energy of formation: 40 meV per atom

***

# Hf2MnCr, relaxed, DFT PBE-GGA
data_Hf2MnCr
_symmetry_space_group_name_H-M 'P 1'
_symmetry_Int_Tables_number 1
_cell_length_a 3.1998
_cell_length_b 3.1998
_cell_length_c 6.4427
_cell_angle_alpha 90.00
_cell_angle_beta 90.00
_cell_angle_gamma 90.00
loop_
_symmetry_equiv_pos_as_xyz
'x,y,z'
loop_
_atom_site_label
_atom_site_type_symbol
_atom_site_fract_x
_atom_site_fract_y
_atom_site_fract_z
Hf1 Hf 0.0000 0.0000 0.2411
Hf2 Hf 0.0000 0.0000 0.7589
Cr1 Cr 0.5000 0.5000 0.5000
Mn1 Mn 0.5000 0.5000 0.0000
# - M_tot: 0.65 μB/atom
# - Energy of formation: 0 meV per atom

***

# NaNbRu, relaxed, DFT PBE-GGA
data_NaNbRu
_symmetry_space_group_name_H-M 'P 1'
_symmetry_Int_Tables_number 1
_cell_length_a 4.1150
_cell_length_b 10.7552
_cell_length_c 3.0889
_cell_angle_alpha 90.00
_cell_angle_beta 90.00
_cell_angle_gamma 90.00
loop_
_symmetry_equiv_pos_as_xyz
'x,y,z'
loop_
_atom_site_label
_atom_site_type_symbol
_atom_site_fract_x
_atom_site_fract_y
_atom_site_fract_z
Na1 Na 0.5000 0.8683 0.2871
Na2 Na 0.0000 0.1317 0.7871
Nb1 Nb 0.0000 0.4174 0.7968
Nb2 Nb 0.5000 0.5826 0.2968
Ru1 Ru 0.5000 0.3506 0.2965
Ru2 Ru 0.0000 0.6494 0.7965
# - M_tot: 0.00 μB/atom
# - Energy of formation: 129 meV per atom
# - Polymorph energy (0 for the lowest one): 0.079 eV/atom

***

Q: energy of formation of number 1 (Pr2Th2Zn)?
A: -106 meV per atom

***

Q: Which of these has the lowest energy of formation?
A: HoZn9Ni2